Y2NbNiSn: PBEsol geometry, SCAN.

```
5
Lattice="5.577 0.000 0.000 0.000 5.577 0.000 0.000 0.000 4.502" Properties=species:S:1:pos:R:3 pbc="T T T"
Y 0.000 2.788 0.000
Y 2.788 0.000 0.000
Nb 0.000 0.000 2.251
Ni 2.788 2.788 2.251
Sn 2.788 2.788 0.000
```

Computed properties:
formation energy from the elements	3.74	eV per formula unit
symmetry	No. 123